Si2HgP (PBE-GGA, optimized geometry); total magnetic moment = 0.0 Bohr magnetons per cell; SG = No. 44; energy above the lowest structure with this stoichiometry = 297 meV per atom; energy relative to the elements, uncorrected = 0.551 eV/atom
1.0
-4.526 3.004 -1.152
-4.939 -2.337 0.984
4.830 1.592 2.228
Si P Hg
2 1 1
direct
0.797 0.297 0.500
0.023 0.023 0.000
0.195 0.695 0.500
0.486 0.486 0.000